Co6O7F5 (PBE with a Hubbard U, relaxed); space-group type = No. 6; mass density = 5044 kg/m3; distance to the lowest polymorph of the same formula = 25 meV per atom; crystal system = monoclinic
1.0
4.5457 0.0000 0.0000
0.0000 8.9396 0.0000
-0.3797 0.0000 4.5414
Co O F
6 7 5
Cartesian
0.0000 0.0000 0.0000
-0.2377 2.9411 4.3856
-0.2377 5.9985 4.3856
2.0665 1.5581 2.2857
2.0665 7.3815 2.2857
2.2023 4.4698 2.3847
0.8391 1.4916 0.8336
0.8391 7.4480 0.8336
1.2601 3.0583 3.0903
1.2601 5.8814 3.0903
3.3912 1.4875 3.6303
3.3912 7.4521 3.6303
3.4770 4.4698 3.6101
0.9730 4.4698 0.8527
1.0933 0.0000 3.1567
2.9994 0.0000 1.4163
3.1510 3.0915 1.3639
3.1510 5.8481 1.3639